The following is a PBE with a Hubbard U calculation of a relaxed structure of PaGa2MoO8, from the Alexandria database.

```
data_PaGa2MoO8
_space_group_name_H-M_alt 'P 1'
_space_group_IT_number 1
_cell_length_a 6.341
_cell_length_b 6.341
_cell_length_c 6.341
_cell_angle_alpha 133.09
_cell_angle_beta 133.09
_cell_angle_gamma 68.51
loop_
_space_group_symop_operation_xyz
'x,y,z'
loop_
_atom_site_label
_atom_site_type_symbol
_atom_site_fract_x
_atom_site_fract_y
_atom_site_fract_z
Pa1 Pa 0.000 0.000 0.000
Ga1 Ga 0.500 0.500 0.000
Ga2 Ga 0.750 0.250 0.500
Mo1 Mo 0.250 0.750 0.500
O1 O 0.022 0.060 0.418
O2 O 0.247 0.689 0.119
O3 O 0.311 0.430 0.558
O4 O 0.396 0.978 0.039
O5 O 0.570 0.128 0.881
O6 O 0.643 0.604 0.582
O7 O 0.872 0.753 0.442
O8 O 0.940 0.357 0.961
```

Calculated values
Crystal system: tetragonal
Density of states at the Fermi level, states/eV per atom: 0.0000
Calculated total energy, eV/cell: -88.67
Symmetry: I-4 (82)